Record 1
A relaxed structure of YZn2F, computed with PBE.

a = 4.7817 Å, b = 4.7817 Å, c = 4.7817 Å
α = 60.00°, β = 60.00°, γ = 60.00°
Element x y z (fractional)
Y: 0.5000 0.5000 0.5000
Zn: 0.2500 0.2500 0.2500
Zn: 0.7500 0.7500 0.7500
F: 0.0000 0.0000 0.0000

Output
The calculation puts the uncorrected formation energy at -0.436 eV per atom. The crystal system is cubic.

---

Record 2
A relaxed structure of GeMo2Pt, computed with PBE.

a = 2.7843 Å, b = 2.7843 Å, c = 9.9294 Å
α = 81.94°, β = 81.94°, γ = 60.00°
Element x y z (fractional)
Mo: 0.0903 0.0903 0.7291
Mo: 0.9097 0.9097 0.2709
Ge: 0.5000 0.5000 0.5000
Pt: 0.0000 0.0000 0.0000

Output
As for the formation energy: 444 meV per atom. The crystal system is trigonal.

---

Record 3
A relaxed structure of Ho2ZnGa3Rh4, computed with PBE.

a = 4.1735 Å, b = 4.1735 Å, c = 10.2973 Å
α = 90.00°, β = 90.00°, γ = 90.00°
Element x y z (fractional)
Ho: 0.5000 0.0000 0.2407
Ho: 0.0000 0.5000 0.7593
Zn: 0.5000 0.5000 0.5000
Ga: 0.0000 0.0000 0.5000
Ga: 0.5000 0.0000 0.8723
Ga: 0.0000 0.5000 0.1277
Rh: 0.5000 0.5000 0.0000
Rh: 0.0000 0.0000 0.0000
Rh: 0.5000 0.0000 0.6367
Rh: 0.0000 0.5000 0.3633

Output
As for the formation energy: -747 meV per atom. The crystal system is tetragonal.

---

Record 4
A relaxed structure of SrThMg2, computed with PBE.

a = 3.8344 Å, b = 3.8344 Å, c = 8.6477 Å
α = 90.00°, β = 90.00°, γ = 90.00°
Element x y z (fractional)
Sr: 0.5000 0.5000 0.5000
Mg: 0.0000 0.0000 0.7706
Mg: 0.0000 0.0000 0.2294
Th: 0.5000 0.5000 0.0000

Output
As for the formation energy: 49 meV per atom. The crystal system is tetragonal.

---

Record 5
A relaxed structure of AlSi2Tc, computed with PBE.

a = 4.3763 Å, b = 4.3763 Å, c = 3.0431 Å
α = 90.00°, β = 90.00°, γ = 107.37°
Element x y z (fractional)
Si: 0.0000 0.0000 0.0000
Si: 0.5000 0.5000 0.0000
Tc: 0.5000 0.0000 0.5000
Al: 0.0000 0.5000 0.5000

Output
The calculation puts the uncorrected formation energy at -0.041 eV per atom. The crystal system is orthorhombic.

---

Record 6
A relaxed structure of CaTa2Al, computed with PBE.

a = 2.8987 Å, b = 2.8987 Å, c = 9.6526 Å
α = 90.00°, β = 90.00°, γ = 90.00°
Element x y z (fractional)
Ca: 0.5000 0.5000 0.7337
Al: 0.0000 0.0000 0.4754
Ta: 0.0000 0.0000 0.0278
Ta: 0.5000 0.5000 0.2631

Output
As for the formation energy: 188 meV per atom. The crystal system is tetragonal.

---

Record 7
A relaxed structure of LaPm2Zn2Ag2, computed with PBE.

a = 4.7114 Å, b = 4.7114 Å, c = 9.6030 Å
α = 75.80°, β = 75.80°, γ = 60.00°
Element x y z (fractional)
La: 0.0000 0.0000 0.0000
Pm: 0.1257 0.1257 0.6229
Pm: 0.8743 0.8743 0.3771
Zn: 0.7420 0.7420 0.7739
Zn: 0.2580 0.2580 0.2261
Ag: 0.5969 0.5969 0.2094
Ag: 0.4031 0.4031 0.7906

Output
As for the formation energy: -238 meV per atom. The crystal system is trigonal.

---

Record 8
A relaxed structure of Mn3In3S8, computed with PBE.

a = 7.5831 Å, b = 7.5831 Å, c = 7.5831 Å
α = 59.20°, β = 59.20°, γ = 59.20°
Element x y z (fractional)
Mn: 0.5000 0.0000 0.0000
Mn: 0.0000 0.5000 0.0000
Mn: 0.0000 0.0000 0.5000
In: 0.3709 0.3709 0.3709
In: 0.6291 0.6291 0.6291
In: 0.0000 0.0000 0.0000
S: 0.7637 0.7637 0.7637
S: 0.2192 0.7543 0.7543
S: 0.7543 0.2192 0.7543
S: 0.7543 0.7543 0.2192
S: 0.2363 0.2363 0.2363
S: 0.7808 0.2457 0.2457
S: 0.2457 0.7808 0.2457
S: 0.2457 0.2457 0.7808

Output
The calculation puts the uncorrected formation energy at -0.546 eV per atom. The crystal system is trigonal.

---

Sequential DOS at the Fermi energy output: 3.659, 4.731, 5.159, 3.117, 2.035, 3.241, 6.410, 5.692 states/eV/f.u.